Record 1
A plane-wave DFT calculation with GGA-PBEsol was carried out for a relaxed YPS2N crystal.

a b c (Å): 5.1798 5.1798 5.4048
angles (deg): 90.00 90.00 90.00
Last column: nearest neighbours and their distance in Å.
Element x y z (fractional)
1 Y 0.0000 0.0000 0.0000  4 S 2.59, 2 P 2.70
2 P 0.0000 0.0000 0.5000  2 Y 2.70
3 S 0.0000 0.5000 0.0000  2 Y 2.59
4 S 0.5000 0.0000 0.0000  2 Y 2.59
5 N 0.5000 0.5000 0.5000  4 P 3.66, 8 S 3.74

Calculated values
DOS at the Fermi energy, states/eV/cell: 5.6
Density, g cm⁻³: 2.27
Size of the total moment, μB/f.u.: 1.90
Space group: P4/mmm, No. 123
Excess energy over the best structure of this formula in the dataset, meV per atom: 459
V, Å³ per cell: 145.0

---

Record 2
A plane-wave DFT calculation with GGA-PBEsol was carried out for a relaxed YPS2N crystal.

a b c (Å): 5.1775 5.1775 4.2730
angles (deg): 90.00 90.00 90.00
Last column: nearest neighbours and their distance in Å.
Element x y z (fractional)
1 Y 0.0000 0.0000 0.0000  2 N 2.14
2 P 0.5000 0.5000 0.5000  8 S 3.36, 4 N 3.66
3 S 0.0000 0.5000 0.0000  2 Y 2.59
4 S 0.5000 0.0000 0.0000  2 Y 2.59
5 N 0.0000 0.0000 0.5000  2 Y 2.14

Calculated values
DOS at the Fermi energy, states/eV/cell: 3.2
Density, g cm⁻³: 2.87
Size of the total moment, μB/f.u.: 2.20
Space group: P4/mmm, No. 123
Excess energy over the best structure of this formula in the dataset, meV per atom: 0
V, Å³ per cell: 114.5

---

> V of number 2 (YPS2N)?

114.5 Å³ per cell